{
  "formula": "SrSnBi2Os",
  "functional": "PBE",
  "state": "optimized geometry",
  "formation_enthalpy_0k_ev_per_atom": 0.740,
  "energy_ev_per_cell": -20.98,
  "lattice_angstrom": [[5.813, 0.000, 0.000], [0.000, 5.813, 0.000], [0.000, 0.000, 4.987]],
  "species": ["Sr", "Sn", "Bi", "Bi", "Os"],
  "frac_coords": [[0.000, 0.000, 0.000], [0.500, 0.500, 0.500], [0.000, 0.500, 0.500], [0.500, 0.000, 0.500], [0.500, 0.500, 0.000]]
}